[1]
Material: BaRu2W
Method: DFT, PBE-GGA
State: optimized geometry

The structure in CIF format:
```
data_BaRu2W
_cell_length_a 4.328
_cell_length_b 4.328
_cell_length_c 6.514
_cell_angle_alpha 109.47
_cell_angle_beta 109.47
_cell_angle_gamma 60.02
_symmetry_space_group_name_H-M 'P 1'
_symmetry_Int_Tables_number 1
loop_
_symmetry_equiv_pos_as_xyz
'x,y,z'
loop_
_atom_site_label
_atom_site_type_symbol
_atom_site_fract_x
_atom_site_fract_y
_atom_site_fract_z
_atom_site_occupancy
Ba1 Ba 0.000 0.000 0.000 1
Ru1 Ru 0.196 0.196 0.589 1
Ru2 Ru 0.804 0.804 0.411 1
W1 W 0.500 0.500 0.500 1
```

## Properties
**Mass density**: 8.910 Mg/m³
**N(E_F)**: 3.56 states/eV/f.u.
**Magnetic moment**: 0.00 μB per cell
**DFT formation energy**: 1.716 eV per formula unit



[2]
Material: Ba2RuW
Method: DFT, PBE-GGA
State: optimized geometry

The structure in CIF format:
```
data_Ba2RuW
_cell_length_a 3.392
_cell_length_b 3.392
_cell_length_c 10.187
_cell_angle_alpha 90.00
_cell_angle_beta 90.00
_cell_angle_gamma 90.00
_symmetry_space_group_name_H-M 'P 1'
_symmetry_Int_Tables_number 1
loop_
_symmetry_equiv_pos_as_xyz
'x,y,z'
loop_
_atom_site_label
_atom_site_type_symbol
_atom_site_fract_x
_atom_site_fract_y
_atom_site_fract_z
_atom_site_occupancy
Ba1 Ba 0.000 0.000 0.000 1
Ba2 Ba 0.500 0.500 0.398 1
Ru1 Ru 0.000 0.000 0.646 1
W1 W 0.500 0.500 0.744 1
```

## Properties
**Mass density**: 7.926 Mg/m³
**N(E_F)**: 4.14 states/eV/f.u.
**Magnetic moment**: 0.41 μB per cell
**DFT formation energy**: 2.364 eV per formula unit



[3]
Material: BaRuW
Method: DFT, PBE-GGA
State: optimized geometry

The structure in CIF format:
```
data_BaRuW
_cell_length_a 4.615
_cell_length_b 4.615
_cell_length_c 4.615
_cell_angle_alpha 60.00
_cell_angle_beta 60.00
_cell_angle_gamma 60.00
_symmetry_space_group_name_H-M 'P 1'
_symmetry_Int_Tables_number 1
loop_
_symmetry_equiv_pos_as_xyz
'x,y,z'
loop_
_atom_site_label
_atom_site_type_symbol
_atom_site_fract_x
_atom_site_fract_y
_atom_site_fract_z
_atom_site_occupancy
Ba1 Ba 0.000 0.000 0.000 1
Ru1 Ru 0.750 0.750 0.750 1
W1 W 0.250 0.250 0.250 1
```

## Properties
**Mass density**: 10.087 Mg/m³
**N(E_F)**: 4.61 states/eV/f.u.
**Magnetic moment**: 0.00 μB per cell
**DFT formation energy**: 7.931 eV per formula unit



[4]
Material: Ba2RuW
Method: DFT, PBE-GGA
State: optimized geometry

The structure in CIF format:
```
data_Ba2RuW
_cell_length_a 4.250
_cell_length_b 4.250
_cell_length_c 9.657
_cell_angle_alpha 101.62
_cell_angle_beta 101.62
_cell_angle_gamma 59.96
_symmetry_space_group_name_H-M 'P 1'
_symmetry_Int_Tables_number 1
loop_
_symmetry_equiv_pos_as_xyz
'x,y,z'
loop_
_atom_site_label
_atom_site_type_symbol
_atom_site_fract_x
_atom_site_fract_y
_atom_site_fract_z
_atom_site_occupancy
Ba1 Ba 0.000 0.000 0.000 1
Ba2 Ba 0.163 0.163 0.532 1
Ru1 Ru 0.410 0.410 0.248 1
W1 W 0.751 0.751 0.276 1
```

## Properties
**Mass density**: 6.326 Mg/m³
**N(E_F)**: 5.36 states/eV/f.u.
**Magnetic moment**: 0.00 μB per cell
**DFT formation energy**: 1.574 eV per formula unit



[5]
Material: Ba2RuW
Method: DFT, PBE-GGA
State: optimized geometry

The structure in CIF format:
```
data_Ba2RuW
_cell_length_a 3.286
_cell_length_b 5.298
_cell_length_c 5.898
_cell_angle_alpha 90.00
_cell_angle_beta 96.35
_cell_angle_gamma 90.00
_symmetry_space_group_name_H-M 'P 1'
_symmetry_Int_Tables_number 1
loop_
_symmetry_equiv_pos_as_xyz
'x,y,z'
loop_
_atom_site_label
_atom_site_type_symbol
_atom_site_fract_x
_atom_site_fract_y
_atom_site_fract_z
_atom_site_occupancy
Ba1 Ba 0.095 0.000 0.255 1
Ba2 Ba 0.905 0.000 0.745 1
Ru1 Ru 0.500 0.500 0.500 1
W1 W 0.500 0.500 0.000 1
```

## Properties
**Mass density**: 9.106 Mg/m³
**N(E_F)**: 4.79 states/eV/f.u.
**Magnetic moment**: 0.00 μB per cell
**DFT formation energy**: 5.904 eV per formula unit



[6]
Material: Ba2RuW
Method: DFT, PBE-GGA
State: optimized geometry

The structure in CIF format:
```
data_Ba2RuW
_cell_length_a 8.842
_cell_length_b 8.842
_cell_length_c 8.842
_cell_angle_alpha 94.05
_cell_angle_beta 94.05
_cell_angle_gamma 149.17
_symmetry_space_group_name_H-M 'P 1'
_symmetry_Int_Tables_number 1
loop_
_symmetry_equiv_pos_as_xyz
'x,y,z'
loop_
_atom_site_label
_atom_site_type_symbol
_atom_site_fract_x
_atom_site_fract_y
_atom_site_fract_z
_atom_site_occupancy
Ba1 Ba 0.375 0.199 0.324 1
Ba2 Ba 0.801 0.125 0.176 1
Ba3 Ba 0.875 0.051 0.676 1
Ba4 Ba 0.949 0.625 0.824 1
Ru1 Ru 0.000 0.000 0.000 1
Ru2 Ru 0.750 0.250 0.500 1
W1 W 0.250 0.750 0.500 1
W2 W 0.500 0.500 0.000 1
```

## Properties
**Mass density**: 5.442 Mg/m³
**N(E_F)**: 6.18 states/eV/f.u.
**Magnetic moment**: 4.50 μB per cell
**DFT formation energy**: 4.113 eV per formula unit



[7]
Material: BaRuW
Method: DFT, PBE-GGA
State: optimized geometry

The structure in CIF format:
```
data_BaRuW
_cell_length_a 4.710
_cell_length_b 4.710
_cell_length_c 4.710
_cell_angle_alpha 60.00
_cell_angle_beta 60.00
_cell_angle_gamma 60.00
_symmetry_space_group_name_H-M 'P 1'
_symmetry_Int_Tables_number 1
loop_
_symmetry_equiv_pos_as_xyz
'x,y,z'
loop_
_atom_site_label
_atom_site_type_symbol
_atom_site_fract_x
_atom_site_fract_y
_atom_site_fract_z
_atom_site_occupancy
Ba1 Ba 0.000 0.000 0.000 1
Ru1 Ru 0.250 0.250 0.250 1
W1 W 0.500 0.500 0.500 1
```

## Properties
**Mass density**: 9.488 Mg/m³
**N(E_F)**: 2.41 states/eV/f.u.
**Magnetic moment**: 0.76 μB per cell
**DFT formation energy**: 4.584 eV per formula unit



[8]
Material: BaRuW
Method: DFT, PBE-GGA
State: optimized geometry

The structure in CIF format:
```
data_BaRuW
_cell_length_a 6.899
_cell_length_b 6.899
_cell_length_c 6.899
_cell_angle_alpha 152.45
_cell_angle_beta 152.45
_cell_angle_gamma 39.36
_symmetry_space_group_name_H-M 'P 1'
_symmetry_Int_Tables_number 1
loop_
_symmetry_equiv_pos_as_xyz
'x,y,z'
loop_
_atom_site_label
_atom_site_type_symbol
_atom_site_fract_x
_atom_site_fract_y
_atom_site_fract_z
_atom_site_occupancy
Ba1 Ba 0.000 0.000 0.000 1
Ru1 Ru 0.292 0.292 0.000 1
W1 W 0.711 0.711 0.000 1
```

## Properties
**Mass density**: 9.997 Mg/m³
**N(E_F)**: 3.84 states/eV/f.u.
**Magnetic moment**: 0.00 μB per cell
**DFT formation energy**: 1.893 eV per formula unit



| no. | energy (eV/atom) |
| --- | --- |
| 1 | -7.93 |
| 2 | -5.93 |
| 3 | -5.41 |
| 4 | -6.13 |
| 5 | -5.04 |
| 6 | -5.49 |
| 7 | -6.52 |
| 8 | -7.42 |